Density functional theory data (meta-GGA SCAN) for Ag2HgIr at its PBEsol-relaxed geometry.

Values from the calculation:
Energy relative to the elements ... 392 meV per atom
Crystal system ... orthorhombic
SG ... No. 47

Cell: 2.7893 4.2133 5.6592 Å, 90.00 90.00 90.00°
With the nearest neighbours (Å) after each atom.
Element x y z (fractional)
Ag1 0.0000 0.0000 0.2387  4 Ag 2.70-2.96, 4 Ir 2.86, 4 Hg 2.93
Ag2 0.0000 0.0000 0.7613  4 Ag 2.70-2.96, 4 Ir 2.86, 4 Hg 2.93
Hg1 0.5000 0.5000 0.5000  2 Hg 2.79, 2 Ir 2.83, 8 Ag 2.93
Ir1 0.5000 0.5000 0.0000  2 Ir 2.79, 2 Hg 2.83, 8 Ag 2.86

---

Density functional theory data (meta-GGA SCAN) for BePdN2 at its PBEsol-relaxed geometry.

Values from the calculation:
Energy relative to the elements, uncorrected ... 0.233 eV per atom
Crystal system ... tetragonal
SG ... No. 122

Cell: 5.0527 5.0527 5.0527 Å, 128.51 128.51 75.80°
With the nearest neighbours (Å) after each atom.
Element x y z (fractional)
Be1 0.0000 0.0000 0.0000  4 N 1.71
Be2 0.7500 0.2500 0.5000  4 N 1.71
Pd1 0.2500 0.7500 0.5000  4 N 2.00
Pd2 0.5000 0.5000 0.0000  4 N 2.00
N1 0.0702 0.6250 0.9452  2 Be 1.71
N2 0.3750 0.3202 0.4452  2 Be 1.71
N3 0.6798 0.1250 0.0548  2 Be 1.71
N4 0.8750 0.9298 0.5548  2 Be 1.71

---

Density functional theory data (meta-GGA SCAN) for CrGa at its PBEsol-relaxed geometry.

Values from the calculation:
Energy relative to the elements ... -115 meV per atom
Crystal system ... trigonal
SG ... No. 166

Cell: 7.6232 7.6232 7.6232 Å, 109.33 109.33 109.33°
With the nearest neighbours (Å) after each atom.
Element x y z (fractional)
Cr1 0.0000 0.0000 0.0000  6 Cr 2.44, 6 Ga 2.60
Cr2 0.1070 0.3195 0.3195  5 Cr 2.44-2.64, 6 Ga 2.46-2.66
Cr3 0.3013 0.3013 0.6383  5 Cr 2.47-2.76, 7 Ga 2.51-2.66
Cr4 0.3013 0.6383 0.3013  5 Cr 2.47-2.76, 7 Ga 2.51-2.66
Cr5 0.3195 0.1070 0.3195  5 Cr 2.44-2.64, 6 Ga 2.46-2.66
Cr6 0.3195 0.3195 0.1070  5 Cr 2.44-2.64, 6 Ga 2.46-2.66
Cr7 0.3617 0.6987 0.6987  5 Cr 2.47-2.76, 7 Ga 2.51-2.66
Cr8 0.6383 0.3013 0.3013  5 Cr 2.47-2.76, 7 Ga 2.51-2.66
Cr9 0.6805 0.6805 0.8930  5 Cr 2.44-2.64, 6 Ga 2.46-2.66
Cr10 0.6805 0.8930 0.6805  5 Cr 2.44-2.64, 6 Ga 2.46-2.66
Cr11 0.6987 0.3617 0.6987  5 Cr 2.47-2.76, 7 Ga 2.51-2.66
Cr12 0.6987 0.6987 0.3617  5 Cr 2.47-2.76, 7 Ga 2.51-2.66
Cr13 0.8930 0.6805 0.6805  5 Cr 2.44-2.64, 6 Ga 2.46-2.66
Ga1 0.0000 0.3884 0.6116  6 Cr 2.56-2.66, 3 Ga 2.78-2.82
Ga2 0.0000 0.6116 0.3884  6 Cr 2.56-2.66, 3 Ga 2.78-2.82
Ga3 0.0465 0.0465 0.6930  6 Cr 2.51-2.66, 3 Ga 2.56-2.76
Ga4 0.0465 0.6930 0.0465  6 Cr 2.51-2.66, 3 Ga 2.56-2.76
Ga5 0.3070 0.9535 0.9535  6 Cr 2.51-2.66, 3 Ga 2.56-2.76
Ga6 0.3884 0.0000 0.6116  6 Cr 2.56-2.66, 3 Ga 2.78-2.82
Ga7 0.3884 0.6116 0.0000  6 Cr 2.56-2.66, 3 Ga 2.78-2.82
Ga8 0.5000 0.5000 0.5000  12 Cr 2.46-2.51
Ga9 0.6116 0.0000 0.3884  6 Cr 2.56-2.66, 3 Ga 2.78-2.82
Ga10 0.6116 0.3884 0.0000  6 Cr 2.56-2.66, 3 Ga 2.78-2.82
Ga11 0.6930 0.0465 0.0465  6 Cr 2.51-2.66, 3 Ga 2.56-2.76
Ga12 0.9535 0.3070 0.9535  6 Cr 2.51-2.66, 3 Ga 2.56-2.76
Ga13 0.9535 0.9535 0.3070  6 Cr 2.51-2.66, 3 Ga 2.56-2.76

---

Number 1: volume 16.6 A^3/atom, uncorrected energy -50.11 eV per atom. Number 2: volume 9.6 A^3/atom, uncorrected energy -13.69 eV per atom. Number 3: volume 13.2 A^3/atom, uncorrected energy -17.48 eV per atom.